This record from the Alexandria database describes a relaxed SrLi2NiGe crystal. The functional is PBE.

Calculated values
Its total energy is -3.346 eV per atom.

```
data_SrLi2NiGe
_chemical_formula_sum 'Sr1 Li2 Ni1 Ge1'
_cell_length_a 4.818
_cell_length_b 4.818
_cell_length_c 4.583
_cell_angle_alpha 90.00
_cell_angle_beta 90.00
_cell_angle_gamma 90.00
_space_group_name_H-M_alt 'P 4/m m m'
_space_group_IT_number 123
_space_group_name_Hall '-P 4 2'
loop_
_atom_site_label
_atom_site_fract_x
_atom_site_fract_y
_atom_site_fract_z
_atom_site_occupancy
Sr1 0.000 0.000 0.000 1
Li1 0.000 0.500 0.500 1
Ni1 0.500 0.500 0.000 1
Ge1 0.500 0.500 0.500 1
```



This record from the Alexandria database describes a relaxed Sr2LiNiGe crystal. The functional is PBE.

Calculated values
Its total energy is -3.321 eV per atom.

```
data_Sr2LiNiGe
_chemical_formula_sum 'Sr2 Li1 Ni1 Ge1'
_cell_length_a 5.812
_cell_length_b 5.812
_cell_length_c 4.487
_cell_angle_alpha 90.00
_cell_angle_beta 90.00
_cell_angle_gamma 90.00
_space_group_name_H-M_alt 'P 4/m m m'
_space_group_IT_number 123
_space_group_name_Hall '-P 4 2'
loop_
_atom_site_label
_atom_site_fract_x
_atom_site_fract_y
_atom_site_fract_z
_atom_site_occupancy
Sr1 0.000 0.500 0.000 1
Li1 0.000 0.000 0.500 1
Ni1 0.500 0.500 0.000 1
Ge1 0.500 0.500 0.500 1
```